(1)
This record from Alexandria describes a crystal of InReMo2 relaxed with PBEsol. The functional is meta-GGA SCAN.

Structure (CIF):
```
data_InReMo2
_chemical_formula_sum 'In1 Re1 Mo2'
_space_group_name_H-M_alt 'P 1'
_space_group_IT_number 1
_cell_length_a 2.853
_cell_length_b 2.853
_cell_length_c 9.351
_cell_angle_alpha 81.22
_cell_angle_beta 81.22
_cell_angle_gamma 60.00
loop_
_space_group_symop_operation_xyz
'x,y,z'
loop_
_atom_site_label
_atom_site_fract_x
_atom_site_fract_y
_atom_site_fract_z
In1 0.500 0.500 0.500
Mo1 0.745 0.745 0.766
Mo2 0.255 0.255 0.234
Re1 0.000 0.000 0.000
```

Volume   16.23 A^3/atom
Magnetic moment   0.00 μB/f.u.
Final energy   -43.2371 eV per atom
Formation enthalpy at 0 K   0.33 eV/atom

(2)
This record from Alexandria describes a crystal of In2ReMo relaxed with PBEsol. The functional is meta-GGA SCAN.

Structure (CIF):
```
data_In2ReMo
_chemical_formula_sum 'In2 Re1 Mo1'
_space_group_name_H-M_alt 'P 1'
_space_group_IT_number 1
_cell_length_a 2.944
_cell_length_b 2.944
_cell_length_c 9.410
_cell_angle_alpha 81.00
_cell_angle_beta 81.00
_cell_angle_gamma 60.00
loop_
_space_group_symop_operation_xyz
'x,y,z'
loop_
_atom_site_label
_atom_site_fract_x
_atom_site_fract_y
_atom_site_fract_z
In1 0.749 0.749 0.753
In2 0.251 0.251 0.247
Re1 0.000 0.000 0.000
Mo1 0.500 0.500 0.500
```

Volume   17.37 A^3/atom
Magnetic moment   0.00 μB/f.u.
Final energy   -42.5847 eV per atom
Formation enthalpy at 0 K   0.60 eV/atom